# 1
{"formula": "NbCoS2", "functional": "PBE", "state": "optimized geometry", "total_energy_ev_per_cell": -26.4, "e_above_lowest_polymorph_kj_per_mol_fu": 198.8, "magnetic_moment_mub_per_atom": 0.0000, "lattice": [[0.000, 3.012, 3.012], [3.012, 0.000, 3.012], [3.012, 3.012, 0.000]], "species": ["Nb", "Co", "S", "S"], "frac_coords": [[0.000, 0.000, 0.000], [0.500, 0.500, 0.500], [0.250, 0.250, 0.250], [0.750, 0.750, 0.750]]}


# 2
{"formula": "NbCoS2", "functional": "PBE", "state": "optimized geometry", "total_energy_ev_per_cell": -27.2, "e_above_lowest_polymorph_kj_per_mol_fu": 124.9, "magnetic_moment_mub_per_atom": 0.3946, "lattice": [[1.610, 0.930, 7.596], [-1.610, 0.930, 7.596], [0.000, -1.859, 7.596]], "species": ["Nb", "Co", "S", "S"], "frac_coords": [[0.000, 0.000, 0.000], [0.500, 0.500, 0.500], [0.406, 0.406, 0.406], [0.594, 0.594, 0.594]]}


# 3
{"formula": "Nb4CoS8", "functional": "PBE", "state": "optimized geometry", "total_energy_ev_per_cell": -187.3, "magnetic_moment_mub_per_atom": 0.0458, "lattice": [[6.680, 0.000, 0.000], [-3.340, 5.785, 0.000], [0.000, 0.000, 11.730]], "species": ["Nb", "Nb", "Nb", "Nb", "Nb", "Nb", "Nb", "Nb", "Co", "Co", "S", "S", "S", "S", "S", "S", "S", "S", "S", "S", "S", "S", "S", "S", "S", "S"], "frac_coords": [[0.000, 0.000, 0.250], [0.000, 0.000, 0.750], [0.013, 0.507, 0.250], [0.493, 0.507, 0.250], [0.493, 0.987, 0.250], [0.507, 0.013, 0.750], [0.507, 0.493, 0.750], [0.987, 0.493, 0.750], [0.000, 0.000, 0.000], [0.000, 0.000, 0.500], [0.165, 0.330, 0.617], [0.165, 0.330, 0.883], [0.165, 0.835, 0.617], [0.165, 0.835, 0.883], [0.330, 0.165, 0.117], [0.330, 0.165, 0.383], [0.333, 0.667, 0.112], [0.333, 0.667, 0.388], [0.667, 0.333, 0.612], [0.667, 0.333, 0.888], [0.670, 0.835, 0.617], [0.670, 0.835, 0.883], [0.835, 0.165, 0.117], [0.835, 0.165, 0.383], [0.835, 0.670, 0.117], [0.835, 0.670, 0.383]]}